# 1
VASP calculation (GGA-PBE) on LaBr3Cl after structural relaxation.

Cell lengths 5.870, 5.870, 5.870 Å; angles 90.00, 90.00, 90.00 degrees
Fractional positions:
La1 0.000 0.000 0.000
Br1 0.500 0.000 0.000
Br2 0.000 0.500 0.000
Br3 0.000 0.000 0.500
Cl1 0.500 0.500 0.500

Results
Space group: Pm-3m (221)
Formation energy from raw total energies, meV per atom: -1269

# 2
VASP calculation (GGA-PBE) on Ba3TbY3Se8 after structural relaxation.

Cell lengths 8.441, 8.440, 8.967 Å; angles 118.07, 90.00, 120.00 degrees
Fractional positions:
Se1 0.239 0.973 0.712
Se2 0.738 0.476 0.714
Se3 0.262 0.524 0.286
Se4 0.238 0.477 0.712
Se5 0.265 0.027 0.288
Se6 0.762 0.523 0.288
Se7 0.761 0.027 0.288
Se8 0.735 0.973 0.712
Ba1 0.500 0.500 0.000
Ba2 0.000 0.000 0.000
Ba3 0.000 0.500 0.000
Y1 0.500 0.500 0.500
Y2 0.000 0.500 0.500
Y3 0.500 0.000 0.500
Tb1 0.000 0.000 0.500

Results
Space group: R-3m (166)
Formation energy from raw total energies, meV per atom: -1934

# 3
VASP calculation (GGA-PBE) on YTiP after structural relaxation.

Cell lengths 3.896, 3.896, 7.467 Å; angles 90.00, 90.00, 90.00 degrees
Fractional positions:
Ti1 0.500 0.500 0.500
Ti2 0.000 0.000 0.500
P1 0.500 0.000 0.737
P2 0.000 0.500 0.263
Y1 0.000 0.500 0.853
Y2 0.500 0.000 0.147

Results
Space group: P4/nmm (129)
Calculated total energy, eV per atom: -7.7014

# 4
VASP calculation (GGA-PBE) on NiBBr2 after structural relaxation.

Cell lengths 7.674, 7.674, 7.674 Å; angles 27.76, 27.76, 27.76 degrees
Fractional positions:
Br1 0.101 0.101 0.101
Br2 0.899 0.899 0.899
B1 0.500 0.500 0.500
Ni1 0.000 0.000 0.000

Results
Space group: R-3m (166)
Formation energy from raw total energies, meV per atom: 1016

# 5
VASP calculation (GGA-PBE) on Er3PaFe8 after structural relaxation.

Cell lengths 5.077, 5.077, 8.799 Å; angles 73.23, 73.23, 60.00 degrees
Fractional positions:
Er1 0.001 0.001 0.996
Er2 0.376 0.376 0.873
Er3 0.499 0.499 0.503
Fe1 0.937 0.438 0.188
Fe2 0.438 0.438 0.188
Fe3 0.686 0.686 0.943
Fe4 0.438 0.937 0.188
Fe5 0.189 0.189 0.433
Fe6 0.440 0.937 0.686
Fe7 0.937 0.937 0.686
Fe8 0.937 0.440 0.686
Pa1 0.873 0.873 0.381

Results
Space group: R3m (160)
Calculated total energy, eV per atom: -7.6710

# 6
VASP calculation (GGA-PBE) on Pa2VCrN5 after structural relaxation.

Cell lengths 3.300, 6.656, 9.702 Å; angles 90.00, 90.00, 104.35 degrees
Fractional positions:
N1 0.715 0.429 0.155
N2 0.496 0.991 0.781
N3 0.631 0.261 0.501
N4 0.504 0.009 0.281
N5 0.686 0.372 0.873
N6 0.944 0.889 0.562
N7 0.369 0.739 0.001
N8 0.056 0.111 0.062
N9 0.314 0.628 0.373
N10 0.285 0.571 0.655
Cr1 0.796 0.591 0.506
Cr2 0.204 0.409 0.006
V1 0.548 0.095 0.965
V2 0.452 0.905 0.465
Pa1 0.856 0.712 0.802
Pa2 0.888 0.775 0.179
Pa3 0.144 0.288 0.302
Pa4 0.112 0.225 0.679

Results
Space group: Cmc2_1 (36)
Formation energy from raw total energies, meV per atom: -1244

# 7
VASP calculation (GGA-PBE) on La2HfZr2 after structural relaxation.

Cell lengths 7.745, 7.745, 4.808 Å; angles 90.00, 90.00, 90.00 degrees
Fractional positions:
Hf1 0.500 0.500 0.000
Hf2 0.000 0.000 0.000
Zr1 0.860 0.640 0.000
Zr2 0.360 0.860 0.000
Zr3 0.140 0.360 0.000
Zr4 0.640 0.140 0.000
La1 0.832 0.332 0.500
La2 0.168 0.668 0.500
La3 0.668 0.832 0.500
La4 0.332 0.168 0.500

Results
Space group: P4/mbm (127)
Calculated total energy, eV per atom: -7.0085

# 8
VASP calculation (GGA-PBE) on Pm5DyTh after structural relaxation.

Cell lengths 6.199, 9.407, 8.874 Å; angles 86.23, 78.48, 70.76 degrees
Fractional positions:
Pm1 0.235 0.304 0.964
Pm2 0.014 0.368 0.355
Pm3 0.619 0.368 0.145
Pm4 0.853 0.294 0.750
Pm5 0.461 0.304 0.536
Pm6 0.986 0.632 0.645
Pm7 0.765 0.696 0.036
Pm8 0.381 0.632 0.855
Pm9 0.539 0.696 0.464
Pm10 0.147 0.706 0.250
Th1 0.000 0.000 0.500
Th2 0.000 0.000 0.000
Dy1 0.511 0.977 0.750
Dy2 0.489 0.023 0.250

Results
Space group: C2/c (15)
Calculated total energy, eV per atom: -4.9059

no.,volume (A^3/atom)
1,40.444
2,30.967
3,18.889
4,21.644
5,15.431
6,11.468
7,28.838
8,34.195